(1)
Here is crystalline Li2MgH6Ir at its relaxed geometry from the Alexandria database. Energies are from PBE.

abc: 4.7494 4.7494 5.1980
angles: 90.00 90.00 120.00
Space group P-3m1 (No. 164)
One atom of each set of equivalent atoms:
Li 0.3333 0.6667 0.1085
Mg 0.0000 0.0000 0.5000
H 0.1676 0.3352 0.8071
Ir 0.0000 0.0000 0.0000

Summary:
Total DFT energy (no corrections) = -3.76 eV per atom

(2)
Here is crystalline LiMn2HIr at its relaxed geometry from the Alexandria database. Energies are from PBE.

abc: 3.711 3.711 3.770
angles: 90.00 90.00 90.00
Space group P4/mmm (No. 123)
One atom of each set of equivalent atoms:
Li 0.000 0.000 0.000
Mn 0.000 0.500 0.500
H 0.000 0.000 0.500
Ir 0.500 0.500 0.000

Summary:
Total DFT energy (no corrections) = -6.50 eV per atom

(3)
Here is crystalline LiHIrN2 at its relaxed geometry from the Alexandria database. Energies are from PBE.

abc: 3.710 3.710 5.860
angles: 90.00 90.00 90.00
Space group P4/mmm (No. 123)
One atom of each set of equivalent atoms:
Li 0.000 0.000 0.000
H 0.500 0.500 0.000
Ir 0.000 0.000 0.500
N 0.000 0.500 0.500

Summary:
Total DFT energy (no corrections) = -5.37 eV per atom